(1)
The following is a DFT calculation (PBE) of an optimized crystal structure of Sb2MoIr.

Lattice parameters (Å, degrees): 4.1017 2.9363 7.5331 78.96 90.00 90.00
Fractional positions:
Ir 0.0000 0.2829 0.5585
Mo 0.5000 0.7171 0.6931
Sb 0.0000 0.1035 0.9251
Sb 0.5000 0.3965 0.3233

DOS(E_F)   2.84 states/eV per cell
SG   No. 6
E   -6.89 eV per atom
Excess energy over the best structure of this formula in the dataset   0.06 eV/f.u.

---

(2)
The following is a DFT calculation (PBE) of an optimized crystal structure of Sb2MoIr.

Lattice parameters (Å, degrees): 3.0128 3.0128 9.4458 90.00 90.00 90.01
Fractional positions:
Ir 0.0000 0.0000 0.5371
Mo 0.5000 0.5000 0.7124
Sb 0.0000 0.0000 0.9318
Sb 0.5000 0.5000 0.3186

DOS(E_F)   3.73 states/eV per cell
SG   No. 99
E   -6.91 eV per atom
Excess energy over the best structure of this formula in the dataset   0.00 eV/f.u.

---

(3)
The following is a DFT calculation (PBE) of an optimized crystal structure of ScSbMo2Ir.

Lattice parameters (Å, degrees): 4.8383 5.0450 4.8383 90.00 90.00 90.00
Each line ends with the local moment (μB).
Fractional positions:
Sc 0.0000 0.5000 0.0000  -0.01
Sb 0.0000 0.0000 0.0000  -0.02
Mo 0.0000 0.0000 0.5000  0.67
Mo 0.5000 0.0000 0.0000  0.69
Ir 0.5000 0.5000 0.5000  0.24

DOS(E_F)   7.05 states/eV per cell
SG   No. 123
E   -6.43 eV per atom

---

(4)
The following is a DFT calculation (PBE) of an optimized crystal structure of SrSb2MoIr.

Lattice parameters (Å, degrees): 5.6106 4.9215 5.6106 90.00 90.00 90.00
Each line ends with the local moment (μB).
Fractional positions:
Sb 0.0000 0.0000 0.5000  0.03
Sb 0.5000 0.0000 0.0000  0.01
Mo 0.5000 0.5000 0.5000  -0.06
Ir 0.0000 0.5000 0.0000  0.18
Sr 0.0000 0.0000 0.0000  0.01

DOS(E_F)   8.43 states/eV per cell
SG   No. 123
E   -3.57 eV per atom

---

(5)
The following is a DFT calculation (PBE) of an optimized crystal structure of Sb2TeMoIr.

Lattice parameters (Å, degrees): 5.0539 5.0539 5.5117 90.00 90.00 90.00
Each line ends with the local moment (μB).
Fractional positions:
Sb 0.0000 0.5000 0.0000  -0.11
Sb 0.5000 0.0000 0.0000  -0.11
Mo 0.5000 0.5000 0.5000  3.35
Ir 0.0000 0.0000 0.0000  -0.08
Te 0.0000 0.0000 0.5000  -0.12

DOS(E_F)   4.23 states/eV per cell
SG   No. 123
E   -5.15 eV per atom
Excess energy over the best structure of this formula in the dataset   0.00 eV/f.u.

---

(6)
The following is a DFT calculation (PBE) of an optimized crystal structure of Sb2TeMoIr.

Lattice parameters (Å, degrees): 5.1361 5.1361 5.0975 90.00 90.00 90.00
Fractional positions:
Sb 0.0000 0.5000 0.0000
Sb 0.5000 0.0000 0.0000
Mo 0.0000 0.0000 0.0000
Ir 0.5000 0.5000 0.5000
Te 0.0000 0.0000 0.5000

DOS(E_F)   3.10 states/eV per cell
SG   No. 123
E   -5.04 eV per atom
Excess energy over the best structure of this formula in the dataset   0.53 eV/f.u.

---

(7)
The following is a DFT calculation (PBE) of an optimized crystal structure of SbMoIrW2.

Lattice parameters (Å, degrees): 4.8035 4.7484 4.8035 90.00 90.00 90.00
Fractional positions:
Sb 0.0000 0.0000 0.0000
Mo 0.0000 0.5000 0.0000
Ir 0.5000 0.5000 0.5000
W 0.0000 0.0000 0.5000
W 0.5000 0.0000 0.0000

DOS(E_F)   7.60 states/eV per cell
SG   No. 123
E   -7.27 eV per atom

---

(8)
The following is a DFT calculation (PBE) of an optimized crystal structure of ZnSbMoIr2.

Lattice parameters (Å, degrees): 4.5335 4.6768 4.5335 90.00 90.00 90.00
Each line ends with the local moment (μB).
Fractional positions:
Sb 0.5000 0.5000 0.5000  -0.03
Mo 0.0000 0.5000 0.0000  0.92
Ir 0.0000 0.0000 0.5000  0.00
Ir 0.5000 0.0000 0.0000  -0.03
Zn 0.0000 0.0000 0.0000  0.02

DOS(E_F)   5.31 states/eV per cell
SG   No. 123
E   -5.50 eV per atom

---

(9)
The following is a DFT calculation (PBE) of an optimized crystal structure of Sc3MoIr.

Lattice parameters (Å, degrees): 4.7990 4.7990 4.7990 90.00 90.00 90.00
Fractional positions:
Sc 0.0000 0.5000 0.0000
Sc 0.0000 0.0000 0.5000
Sc 0.5000 0.0000 0.0000
Mo 0.0000 0.0000 0.0000
Ir 0.5000 0.5000 0.5000

DOS(E_F)   3.29 states/eV per cell
SG   No. 221
E   -7.06 eV per atom
ΔE_f   680 meV per atom
Excess energy over the best structure of this formula in the dataset   1.77 eV/f.u.

---

(10)
The following is a DFT calculation (PBE) of an optimized crystal structure of ScMo2Ir2.

Lattice parameters (Å, degrees): 7.7713 7.7713 2.7804 90.00 90.00 90.00
Each line ends with the local moment (μB).
Fractional positions:
Sc 0.0000 0.0000 0.0000  0.21
Sc 0.5000 0.5000 0.0000  0.21
Mo 0.3804 0.8804 0.0000  0.01
Mo 0.8804 0.6196 0.0000  0.01
Mo 0.6196 0.1196 0.0000  0.01
Mo 0.1196 0.3804 0.0000  0.01
Ir 0.1728 0.6728 0.5000  -0.01
Ir 0.6728 0.8272 0.5000  0.00
Ir 0.8272 0.3272 0.5000  -0.01
Ir 0.3272 0.1728 0.5000  0.00

DOS(E_F)   10.95 states/eV per cell
SG   No. 127
E   -9.38 eV per atom
ΔE_f   -232 meV per atom
Excess energy over the best structure of this formula in the dataset   0.00 eV/f.u.

---

(11)
The following is a DFT calculation (PBE) of an optimized crystal structure of ScMo2Ir2.

Lattice parameters (Å, degrees): 7.6812 7.6812 2.8376 90.00 90.00 90.00
Fractional positions:
Sc 0.0000 0.0000 0.0000
Sc 0.5000 0.5000 0.0000
Mo 0.1700 0.6700 0.5000
Mo 0.6700 0.8300 0.5000
Mo 0.8300 0.3300 0.5000
Mo 0.3300 0.1700 0.5000
Ir 0.3740 0.8740 0.0000
Ir 0.8740 0.6260 0.0000
Ir 0.6260 0.1260 0.0000
Ir 0.1260 0.3740 0.0000

DOS(E_F)   14.39 states/eV per cell
SG   No. 127
E   -9.35 eV per atom
ΔE_f   -209 meV per atom
Excess energy over the best structure of this formula in the dataset   0.11 eV/f.u.

---

(12)
The following is a DFT calculation (PBE) of an optimized crystal structure of Sc3MoIr.

Lattice parameters (Å, degrees): 4.9745 4.9745 4.9745 90.00 90.00 90.00
Each line ends with the local moment (μB).
Fractional positions:
Sc 0.0000 0.5000 0.0000  -0.10
Sc 0.0000 0.0000 0.5000  -0.05
Sc 0.5000 0.0000 0.0000  -0.19
Mo 0.5000 0.5000 0.5000  2.70
Ir 0.0000 0.0000 0.0000  0.06

DOS(E_F)   3.55 states/eV per cell
SG   No. 221
E   -7.41 eV per atom
ΔE_f   326 meV per atom
Excess energy over the best structure of this formula in the dataset   0.00 eV/f.u.

---

(13)
The following is a DFT calculation (PBE) of an optimized crystal structure of ScMo3Ir.

Lattice parameters (Å, degrees): 4.7670 4.7670 4.7670 90.00 90.00 90.00
Fractional positions:
Sc 0.5000 0.5000 0.5000
Mo 0.0000 0.5000 0.0000
Mo 0.0000 0.0000 0.5000
Mo 0.5000 0.0000 0.0000
Ir 0.0000 0.0000 0.0000

DOS(E_F)   7.55 states/eV per cell
SG   No. 221
E   -8.35 eV per atom
ΔE_f   1188 meV per atom
Excess energy over the best structure of this formula in the dataset   0.00 eV/f.u.

---

(14)
The following is a DFT calculation (PBE) of an optimized crystal structure of ScMoIr3.

Lattice parameters (Å, degrees): 4.7176 4.7176 4.7176 90.00 90.00 90.00
Fractional positions:
Sc 0.5000 0.5000 0.5000
Mo 0.0000 0.0000 0.0000
Ir 0.0000 0.5000 0.0000
Ir 0.0000 0.0000 0.5000
Ir 0.5000 0.0000 0.0000

DOS(E_F)   4.41 states/eV per cell
SG   No. 221
E   -7.87 eV per atom
ΔE_f   876 meV per atom
Excess energy over the best structure of this formula in the dataset   0.00 eV/f.u.

---

(15)
The following is a DFT calculation (PBE) of an optimized crystal structure of ScMo3Ir.

Lattice parameters (Å, degrees): 4.4901 4.4901 4.4901 90.00 90.00 90.00
Fractional positions:
Sc 0.0000 0.0000 0.0000
Mo 0.0000 0.5000 0.0000
Mo 0.0000 0.0000 0.5000
Mo 0.5000 0.0000 0.0000
Ir 0.5000 0.5000 0.5000

DOS(E_F)   5.00 states/eV per cell
SG   No. 221
E   -7.53 eV per atom
ΔE_f   2007 meV per atom
Excess energy over the best structure of this formula in the dataset   4.09 eV/f.u.

---

(16)
The following is a DFT calculation (PBE) of an optimized crystal structure of ScTcMo2Ir.

Lattice parameters (Å, degrees): 4.6110 4.7490 4.6110 90.00 90.00 90.00
Fractional positions:
Sc 0.0000 0.5000 0.0000
Mo 0.0000 0.0000 0.5000
Mo 0.5000 0.0000 0.0000
Ir 0.5000 0.5000 0.5000
Tc 0.0000 0.0000 0.0000

DOS(E_F)   8.24 states/eV per cell
SG   No. 123
E   -8.14 eV per atom
ΔE_f   1305 meV per atom

---

(17)
The following is a DFT calculation (PBE) of an optimized crystal structure of ScVMoIr.

Lattice parameters (Å, degrees): 4.4414 4.4414 4.4414 60.00 60.00 60.00
Fractional positions:
Sc 0.2500 0.2500 0.2500
Mo 0.0000 0.0000 0.0000
Ir 0.5000 0.5000 0.5000
V 0.7500 0.7500 0.7500

DOS(E_F)   3.38 states/eV per cell
SG   No. 216
E   -9.12 eV per atom
ΔE_f   -339 meV per atom

---

(18)
The following is a DFT calculation (PBE) of an optimized crystal structure of ScZn2MoIr.

Lattice parameters (Å, degrees): 4.7798 4.6927 4.7798 90.00 90.00 90.00
Fractional positions:
Sc 0.5000 0.5000 0.5000
Mo 0.0000 0.0000 0.0000
Ir 0.0000 0.5000 0.0000
Zn 0.0000 0.0000 0.5000
Zn 0.5000 0.0000 0.0000

DOS(E_F)   3.74 states/eV per cell
SG   No. 123
E   -5.06 eV per atom
ΔE_f   654 meV per atom

---

(19)
The following is a DFT calculation (PBE) of an optimized crystal structure of ZrScMoIr.

Lattice parameters (Å, degrees): 4.6483 4.6483 4.6483 60.00 60.00 60.00
Fractional positions:
Sc 0.2500 0.2500 0.2500
Mo 0.0000 0.0000 0.0000
Ir 0.5000 0.5000 0.5000
Zr 0.7500 0.7500 0.7500

DOS(E_F)   6.41 states/eV per cell
SG   No. 216
E   -9.04 eV per atom
ΔE_f   -397 meV per atom

---

(20)
The following is a DFT calculation (PBE) of an optimized crystal structure of MoIrSe.

Lattice parameters (Å, degrees): 4.7964 4.7964 4.7964 144.05 132.35 61.11
Fractional positions:
Ir 0.9941 0.9941 0.0000
Mo 0.3381 0.3381 0.0000
Se 0.6678 0.6678 0.0000

DOS(E_F)   2.41 states/eV per cell
SG   No. 44
E   -7.41 eV per atom
Excess energy over the best structure of this formula in the dataset   0.87 eV/f.u.

---

(21)
The following is a DFT calculation (PBE) of an optimized crystal structure of MoIrSe2.

Lattice parameters (Å, degrees): 5.0013 5.0013 6.4508 85.16 85.16 37.98
Fractional positions:
Ir 0.5625 0.5625 0.3616
Mo 0.2749 0.2749 0.3618
Se 0.9446 0.9446 0.1258
Se 0.7181 0.7181 0.6508

DOS(E_F)   1.64 states/eV per cell
SG   No. 8
E   -6.65 eV per atom
Excess energy over the best structure of this formula in the dataset   0.24 eV/f.u.

---

(22)
The following is a DFT calculation (PBE) of an optimized crystal structure of MoIrSe2.

Lattice parameters (Å, degrees): 4.4250 4.4250 5.2772 81.93 81.93 40.65
Fractional positions:
Ir 0.7500 0.7500 0.7500
Mo 0.2500 0.2500 0.2500
Se 0.9726 0.9726 0.0160
Se 0.5274 0.5274 0.4840

DOS(E_F)   3.13 states/eV per cell
SG   No. 12
E   -6.46 eV per atom
Excess energy over the best structure of this formula in the dataset   0.97 eV/f.u.

---

(23)
The following is a DFT calculation (PBE) of an optimized crystal structure of MoIr4Se.

Lattice parameters (Å, degrees): 5.1878 5.1878 5.1878 60.00 60.00 60.00
Fractional positions:
Mo 0.7500 0.7500 0.7500
Ir 0.8741 0.3753 0.3753
Ir 0.3753 0.3753 0.8741
Ir 0.3753 0.8741 0.3753
Ir 0.3753 0.3753 0.3753
Se 0.0000 0.0000 0.0000

DOS(E_F)   10.17 states/eV per cell
SG   No. 216
E   -7.63 eV per atom

---

(24)
The following is a DFT calculation (PBE) of an optimized crystal structure of MoIrSe.

Lattice parameters (Å, degrees): 5.6832 5.6832 3.0097 74.65 74.65 30.71
Fractional positions:
Ir 0.9893 0.9893 0.0107
Mo 0.3322 0.3322 0.6678
Se 0.6785 0.6785 0.3215

DOS(E_F)   2.02 states/eV per cell
SG   No. 107
E   -7.67 eV per atom
Excess energy over the best structure of this formula in the dataset   0.09 eV/f.u.

---

(25)
The following is a DFT calculation (PBE) of an optimized crystal structure of MoIrSe2.

Lattice parameters (Å, degrees): 5.2888 5.2888 5.2888 137.83 137.83 61.16
Each line ends with the local moment (μB).
Fractional positions:
Ir 0.5000 0.5000 0.0000  0.07
Mo 0.7500 0.2500 0.5000  1.13
Se 0.0000 0.0000 0.0000  -0.02
Se 0.2500 0.7500 0.5000  -0.01

DOS(E_F)   3.00 states/eV per cell
SG   No. 119
E   -6.17 eV per atom
Excess energy over the best structure of this formula in the dataset   2.16 eV/f.u.

---

(26)
The following is a DFT calculation (PBE) of an optimized crystal structure of MoIrSe2.

Lattice parameters (Å, degrees): 9.8676 9.8676 9.8676 17.74 17.74 17.74
Fractional positions:
Ir 0.4961 0.4961 0.4961
Mo 0.7528 0.7528 0.7528
Se 0.0243 0.0243 0.0243
Se 0.2268 0.2268 0.2268

DOS(E_F)   5.20 states/eV per cell
SG   No. 160
E   -6.64 eV per atom
Excess energy over the best structure of this formula in the dataset   0.28 eV/f.u.

---

(27)
The following is a DFT calculation (PBE) of an optimized crystal structure of Mo3IrSe.

Lattice parameters (Å, degrees): 4.7729 4.7729 4.7729 90.00 90.00 90.00
Fractional positions:
Mo 0.0000 0.5000 0.0000
Mo 0.0000 0.0000 0.5000
Mo 0.5000 0.0000 0.0000
Ir 0.0000 0.0000 0.0000
Se 0.5000 0.5000 0.5000

DOS(E_F)   7.04 states/eV per cell
SG   No. 221
E   -7.36 eV per atom
Excess energy over the best structure of this formula in the dataset   1.47 eV/f.u.

---

(28)
The following is a DFT calculation (PBE) of an optimized crystal structure of Mo2IrSe.

Lattice parameters (Å, degrees): 3.0987 4.4142 4.6116 90.00 90.00 90.00
Fractional positions:
Ir 0.0000 0.5000 0.5000
Mo 0.0000 0.0000 0.0000
Mo 0.5000 0.5000 0.0000
Se 0.5000 0.0000 0.5000

DOS(E_F)   4.23 states/eV per cell
SG   No. 47
E   -8.15 eV per atom

---

(29)
The following is a DFT calculation (PBE) of an optimized crystal structure of MoIrSe2.

Lattice parameters (Å, degrees): 8.2079 8.2079 8.2079 23.83 23.83 23.83
Fractional positions:
Mo 0.0000 0.0000 0.0000
Ir 0.5000 0.5000 0.5000
Se 0.8978 0.8978 0.8978
Se 0.1022 0.1022 0.1022

DOS(E_F)   4.20 states/eV per cell
SG   No. 166
E   -6.15 eV per atom
Excess energy over the best structure of this formula in the dataset   2.20 eV/f.u.